Ta2Al6Zn: optimized geometry, PBE.

POSCAR file:
```
Ta2Al6Zn
1.0
-3.7357 -1.0466 0.5127
-0.9999 0.5093 -6.2468
3.7109 -5.3218 1.2409
Ta Al Zn
2 6 1
Direct
0.9465 0.1809 0.8929
0.0535 0.8191 0.1071
0.2797 0.1485 0.5593
0.6039 0.1623 0.2078
0.7203 0.8515 0.4407
0.1700 0.5088 0.3400
0.8300 0.4912 0.6600
0.3961 0.8377 0.7922
0.5000 0.5000 0.0000
```

Energy of formation   -0.1448 eV/atom
Total moment   0.0000 μB per atom
Space-group type   C2/m, No. 12